MgZn3Se2 | PBE-GGA | relaxed

Cell lengths 4.7479, 4.7479, 19.3710 Å; angles 90.00, 90.00, 120.00 degrees
Space group R-3m (No. 166, hexagonal axes)
One atom of each set of equivalent atoms:
Mg (0.0000, 0.0000, 0.0000) x3
Zn (0.0000, 0.5000, 0.5000) x9
Se (0.0000, 0.0000, 0.3968) x6

Calculated values
Formation energy from raw total energies ... -240 meV/atom
Raw total energy ... -2.305 eV/atom
Magnetization ... 0.00 μB per formula unit
ΔE to the lowest computed polymorph ... 64 meV per atom
Crystal system ... trigonal